[1]
The following is a PBE calculation of an optimized crystal structure of KLa2Tc, from the Alexandria database.

a = 11.3974 Å, b = 11.3974 Å, c = 11.3974 Å
α = 160.56°, β = 161.59°, γ = 26.90°
Last column: nearest neighbours and their distance in Å.
Positions (direct):
La: 0.6407 0.1407 0.5000  2 Tc 2.61
La: 0.9912 0.9912 0.0000  4 Tc 3.07
Tc: 0.5610 0.5610 0.0000  2 La 2.61
K: 0.3071 0.8071 0.5000  4 K 3.65-3.85

Summary:
As for the crystal system: orthorhombic. For the formation energy, the calculation gives 268 meV/atom. Its space group is Imm2, No. 44. Its density of states at the Fermi level is 3.24 states/eV/f.u. The calculation puts the total magnetization at 0.00 μB per cell. The offset from the most stable computed form comes out at 13.0 kJ per mole of atoms.



[2]
The following is a PBE calculation of an optimized crystal structure of KLaTc, from the Alexandria database.

a = 3.5569 Å, b = 3.5569 Å, c = 8.4197 Å
α = 90.00°, β = 90.00°, γ = 120.00°
Last column: nearest neighbours and their distance in Å.
Positions (direct):
K: 0.0000 0.0000 0.9522  3 Tc 3.38, 6 K 3.56
La: 0.6667 0.3333 0.4146  3 Tc 2.76
Tc: 0.3333 0.6667 0.6332  3 La 2.76

Summary:
As for the crystal system: trigonal. For the formation energy, the calculation gives 777 meV/atom. Its space group is P3m1, No. 156. Its density of states at the Fermi level is 1.76 states/eV/f.u. The calculation puts the total magnetization at 0.00 μB per cell. The offset from the most stable computed form comes out at 10.0 kJ per mole of atoms.



[3]
The following is a PBE calculation of an optimized crystal structure of KLa2Tc, from the Alexandria database.

a = 8.3316 Å, b = 8.3316 Å, c = 8.3336 Å
α = 60.01°, β = 60.01°, γ = 90.00°
Last column: nearest neighbours and their distance in Å.
Positions (direct):
Tc: 0.7500 0.2500 0.5000  4 La 2.55
Tc: 0.0000 0.0000 0.0000  4 La 2.55
K: 0.5000 0.5000 0.0000  12 La 4.88-4.89, 4 K 5.10, 4 Tc 5.10
K: 0.2500 0.7500 0.5000  12 La 4.88-4.89, 4 K 5.10, 4 Tc 5.10
La: 0.3750 0.1259 0.7500  2 Tc 2.55
La: 0.8759 0.6250 0.2500  2 Tc 2.55
La: 0.8750 0.1241 0.7500  2 Tc 2.55
La: 0.8741 0.1250 0.2500  2 Tc 2.55

Summary:
As for the crystal system: tetragonal. For the formation energy, the calculation gives 314 meV/atom. Its space group is I-42d, No. 122. Its density of states at the Fermi level is 4.31 states/eV/f.u. The calculation puts the total magnetization at 0.00 μB per cell. The offset from the most stable computed form comes out at 17.4 kJ per mole of atoms.



[4]
The following is a PBE calculation of an optimized crystal structure of KLa2Tc, from the Alexandria database.

a = 6.1818 Å, b = 6.1818 Å, c = 6.1818 Å
α = 136.55°, β = 136.55°, γ = 63.12°
Last column: nearest neighbours and their distance in Å.
Positions (direct):
La: 0.2500 0.7500 0.5000  4 K 3.24, 4 La 3.49, 4 Tc 3.49
La: 0.0000 0.0000 0.0000  4 Tc 3.24, 4 K 3.49, 4 La 3.49
K: 0.7500 0.2500 0.5000  8 La 3.24-3.49, 4 Tc 3.49
Tc: 0.5000 0.5000 0.0000  8 La 3.24-3.49, 4 K 3.49

Summary:
As for the crystal system: tetragonal. For the formation energy, the calculation gives 822 meV/atom. Its space group is I-4m2, No. 119. Its density of states at the Fermi level is 4.79 states/eV/f.u. The calculation puts the total magnetization at 0.00 μB per cell. The offset from the most stable computed form comes out at 66.4 kJ per mole of atoms.



[5]
The following is a PBE calculation of an optimized crystal structure of KLa2Tc, from the Alexandria database.

a = 6.4682 Å, b = 6.4682 Å, c = 6.4682 Å
α = 144.05°, β = 117.43°, γ = 74.32°
Last column: nearest neighbours and their distance in Å.
Positions (direct):
Tc: 0.7500 0.2500 0.5000  4 La 2.70
La: 0.5734 0.5734 0.0000  2 Tc 2.70
La: 0.9266 0.9266 0.0000  2 Tc 2.70
K: 0.2500 0.7500 0.5000  8 La 3.82-3.89, 4 Tc 3.91, 2 K 3.99

Summary:
As for the crystal system: orthorhombic. For the formation energy, the calculation gives 409 meV/atom. Its space group is Immm, No. 71. Its density of states at the Fermi level is 4.06 states/eV/f.u. The calculation puts the total magnetization at 0.00 μB per cell. The offset from the most stable computed form comes out at 26.6 kJ per mole of atoms.



[6]
The following is a PBE calculation of an optimized crystal structure of KLaTc2, from the Alexandria database.

a = 5.6982 Å, b = 5.6982 Å, c = 7.9293 Å
α = 64.74°, β = 64.74°, γ = 38.70°
Last column: nearest neighbours and their distance in Å.
Positions (direct):
La: 0.2500 0.2500 0.2500  6 Tc 2.94-3.21
Tc: 0.0146 0.0146 0.1568  2 Tc 2.33
Tc: 0.4854 0.4854 0.3432  2 Tc 2.33
K: 0.7500 0.7500 0.7500  4 Tc 3.60, 2 K 3.78

Summary:
As for the crystal system: monoclinic. For the formation energy, the calculation gives 717 meV/atom. Its space group is C2/m, No. 12. Its density of states at the Fermi level is 2.98 states/eV/f.u. The calculation puts the total magnetization at 0.00 μB per cell. The offset from the most stable computed form comes out at 30.6 kJ per mole of atoms.



Question: Look up the total magnetization of the third one.
Answer: 0.00 μB per cell



Question: Which formula does entry 1 have?
Answer: KLa2Tc